A plane-wave DFT calculation with PBE-GGA was carried out for a relaxed Tm2Cu5Si4 crystal.

```
Tm2Cu5Si4
1.0
0.000 4.545 6.960
2.707 0.000 6.960
2.707 4.545 0.000
Tm Cu Si
2 5 4
direct
0.146 0.146 0.854
0.854 0.854 0.146
0.000 0.000 0.500
0.250 0.250 0.250
0.500 0.500 0.000
0.500 0.500 0.500
0.750 0.750 0.750
0.225 0.499 0.501
0.499 0.225 0.775
0.501 0.775 0.225
0.775 0.501 0.499
```

Computed properties:
* space group: No. 69
* E_form (uncorrected): -0.34 eV/atom
* E: -54.9 eV/f.u.
* total moment: 0.0 μB/f.u.
* density of states at the Fermi level: 0.318 states/eV/atom